Below is an optimized crystal structure of AgSnP2, with properties calculated at the PBE level.

Output
As for the theoretical density: 4.97 g/cm3. The crystal system is trigonal. The magnetic moment comes out at 0.00 μB per atom. Its space group is R-3m, No. 166. The calculated formation energy is 0.31 eV per atom.

```
4
Lattice="3.7841 0.0000 0.0000 1.8920 3.2771 0.0000 1.8920 1.0924 7.7796" Properties=species:S:1:pos:R:3 pbc="T T T"
Sn 3.7841 2.1847 3.8898
P 1.8920 1.0924 5.3986
P 5.6761 3.2771 2.3810
Ag 0.0000 0.0000 0.0000
```